SbMo2O8 | GGA+U | relaxed

Results
**E above lowest polymorph**: 0.051 eV per atom
**Space group**: C2/c, No. 15
**Density of states at the Fermi level**: 0.031 states/eV/atom

a = 12.0040 Å, b = 12.0040 Å, c = 5.5078 Å
α = 77.81°, β = 77.81°, γ = 23.75°
Element x y z (fractional)
Sb 0.3228 0.6772 0.7500
Sb 0.6772 0.3228 0.2500
Mo 0.6330 0.0924 0.0428
Mo 0.3670 0.9076 0.9572
Mo 0.9076 0.3670 0.4572
Mo 0.0924 0.6330 0.5428
O 0.3536 0.5541 0.4756
O 0.8545 0.9489 0.3115
O 0.9489 0.8545 0.8115
O 0.8795 0.7125 0.6412
O 0.1455 0.0511 0.6885
O 0.0511 0.1455 0.1885
O 0.1205 0.2875 0.3588
O 0.2875 0.1205 0.8588
O 0.3821 0.3193 0.8031
O 0.3193 0.3821 0.3031
O 0.5541 0.3536 0.9756
O 0.6179 0.6807 0.1969
O 0.6464 0.4459 0.5244
O 0.4459 0.6464 0.0244
O 0.6807 0.6179 0.6969
O 0.7125 0.8795 0.1412